(1)
Material: ScUAg
Method: DFT, PBE
State: relaxed

The value obtained for the formation enthalpy at 0 K is 1.0087 eV/atom. The calculation puts the total magnetic moment at 2.99 μB/f.u. The crystal system is cubic. As for the volume: 71.8 Å³/cell. Its uncorrected energy is -5.81 eV/atom.

Cell lengths 4.6660, 4.6660, 4.6660 Å; angles 60.00, 60.00, 60.00 degrees
Positions (direct):
Sc (0.0000, 0.0000, 0.0000)
U (0.2500, 0.2500, 0.2500)
Ag (0.7500, 0.7500, 0.7500)

(2)
Material: ScAgW2
Method: DFT, PBE
State: relaxed

The value obtained for the formation enthalpy at 0 K is 0.3344 eV/atom. The calculation puts the total magnetic moment at 0.01 μB/f.u. The crystal system is cubic. As for the volume: 68.9 Å³/cell. Its uncorrected energy is -8.43 eV/atom.

Cell lengths 4.6021, 4.6021, 4.6021 Å; angles 60.00, 60.00, 60.00 degrees
Positions (direct):
Sc (0.0000, 0.0000, 0.0000)
Ag (0.2500, 0.2500, 0.2500)
W (0.5000, 0.5000, 0.5000)
W (0.7500, 0.7500, 0.7500)

(3)
Material: Y2Sc2Ag
Method: DFT, PBE
State: relaxed

The value obtained for the formation enthalpy at 0 K is 0.2595 eV/atom. The calculation puts the total magnetic moment at 0.03 μB/f.u. The crystal system is hexagonal. As for the volume: 259.0 Å³/cell. Its uncorrected energy is -5.42 eV/atom.

Cell lengths 3.8891, 3.8891, 19.7708 Å; angles 90.00, 90.00, 120.00 degrees
Positions (direct):
Y (0.3333, 0.6667, 0.0583)
Y (0.3333, 0.6667, 0.4417)
Y (0.6667, 0.3333, 0.5583)
Y (0.6667, 0.3333, 0.9417)
Sc (0.3333, 0.6667, 0.6709)
Sc (0.3333, 0.6667, 0.8291)
Sc (0.6667, 0.3333, 0.1709)
Sc (0.6667, 0.3333, 0.3291)
Ag (0.0000, 0.0000, 0.2500)
Ag (0.0000, 0.0000, 0.7500)

(4)
Material: YScAg4
Method: DFT, PBE
State: relaxed

The value obtained for the formation enthalpy at 0 K is -0.3125 eV/atom. The calculation puts the total magnetic moment at 0.00 μB/f.u. The crystal system is tetragonal. As for the volume: 122.1 Å³/cell. Its uncorrected energy is -4.33 eV/atom.

Cell lengths 3.6548, 3.6548, 9.1393 Å; angles 90.00, 90.00, 90.00 degrees
Positions (direct):
Y (0.0000, 0.0000, 0.0000)
Sc (0.5000, 0.5000, 0.5000)
Ag (0.0000, 0.0000, 0.3414)
Ag (0.0000, 0.0000, 0.6586)
Ag (0.5000, 0.5000, 0.1783)
Ag (0.5000, 0.5000, 0.8217)

(5)
Material: ScZn2Ag5
Method: DFT, PBE
State: relaxed

The value obtained for the formation enthalpy at 0 K is -0.0752 eV/atom. The calculation puts the total magnetic moment at 0.13 μB/f.u. The crystal system is orthorhombic. As for the volume: 142.5 Å³/cell. Its uncorrected energy is -2.95 eV/atom.

Cell lengths 4.7722, 5.8713, 5.8713 Å; angles 60.02, 90.00, 90.00 degrees
Positions (direct):
Sc (0.0000, 0.0000, 0.0000)
Zn (0.0000, 0.4981, 0.4981)
Zn (0.5000, 0.8267, 0.8267)
Ag (0.0000, 0.5065, 0.9930)
Ag (0.0000, 0.9930, 0.5065)
Ag (0.5000, 0.3324, 0.3324)
Ag (0.5000, 0.3319, 0.8275)
Ag (0.5000, 0.8275, 0.3319)

(6)
Material: ScZnAg4
Method: DFT, PBE
State: relaxed

The value obtained for the formation enthalpy at 0 K is -0.0215 eV/atom. The calculation puts the total magnetic moment at 0.00 μB/f.u. The crystal system is trigonal. As for the volume: 115.2 Å³/cell. Its uncorrected energy is -3.17 eV/atom.

Cell lengths 5.4594, 5.4594, 5.4594 Å; angles 60.06, 60.06, 60.06 degrees
Positions (direct):
Sc (0.0000, 0.0000, 0.0000)
Zn (0.2505, 0.2505, 0.2505)
Ag (0.1248, 0.6243, 0.6243)
Ag (0.6243, 0.1248, 0.6243)
Ag (0.6243, 0.6243, 0.1248)
Ag (0.6242, 0.6242, 0.6242)

(7)
Material: Sc5Zn2Ag
Method: DFT, PBE
State: relaxed

The value obtained for the formation enthalpy at 0 K is -0.1687 eV/atom. The calculation puts the total magnetic moment at 0.08 μB/f.u. The crystal system is orthorhombic. As for the volume: 161.7 Å³/cell. Its uncorrected energy is -4.79 eV/atom.

Cell lengths 4.8763, 6.1474, 6.1474 Å; angles 61.34, 90.00, 90.00 degrees
Positions (direct):
Sc (0.0000, 0.0000, 0.0000)
Sc (0.0000, 0.0169, 0.5125)
Sc (0.0000, 0.5125, 0.0169)
Sc (0.5000, 0.3375, 0.8206)
Sc (0.5000, 0.8206, 0.3375)
Zn (0.0000, 0.5133, 0.5133)
Zn (0.5000, 0.8378, 0.8378)
Ag (0.5000, 0.3413, 0.3413)

(8)
Material: ScZn6Ag
Method: DFT, PBE
State: relaxed

The value obtained for the formation enthalpy at 0 K is -0.1308 eV/atom. The calculation puts the total magnetic moment at 0.00 μB/f.u. The crystal system is hexagonal. As for the volume: 129.4 Å³/cell. Its uncorrected energy is -2.22 eV/atom.

Cell lengths 5.8648, 5.8648, 4.3440 Å; angles 90.00, 90.00, 120.00 degrees
Positions (direct):
Sc (0.0000, 0.0000, 0.0000)
Zn (0.3457, 0.1728, 0.5000)
Zn (0.5092, 0.0184, 0.0000)
Zn (0.5092, 0.4908, 0.0000)
Zn (0.8272, 0.1728, 0.5000)
Zn (0.8272, 0.6543, 0.5000)
Zn (0.9816, 0.4908, 0.0000)
Ag (0.3333, 0.6667, 0.5000)

(9)
Material: ScZn2Ag
Method: DFT, PBE
State: relaxed

The value obtained for the formation enthalpy at 0 K is -0.2661 eV/atom. The calculation puts the total magnetic moment at 0.00 μB/f.u. The crystal system is cubic. As for the volume: 67.9 Å³/cell. Its uncorrected energy is -3.19 eV/atom.

Cell lengths 4.5788, 4.5788, 4.5788 Å; angles 60.00, 60.00, 60.00 degrees
Positions (direct):
Sc (0.0000, 0.0000, 0.0000)
Zn (0.5000, 0.5000, 0.5000)
Zn (0.7500, 0.7500, 0.7500)
Ag (0.2500, 0.2500, 0.2500)

(10)
Material: ZrScAg4
Method: DFT, PBE
State: relaxed

The value obtained for the formation enthalpy at 0 K is -0.1846 eV/atom. The calculation puts the total magnetic moment at 0.40 μB/f.u. The crystal system is tetragonal. As for the volume: 113.7 Å³/cell. Its uncorrected energy is -4.55 eV/atom.

Cell lengths 3.5584, 3.5584, 8.9792 Å; angles 90.00, 90.00, 90.00 degrees
Positions (direct):
Zr (0.0000, 0.0000, 0.0000)
Sc (0.5000, 0.5000, 0.5000)
Ag (0.0000, 0.0000, 0.3346)
Ag (0.0000, 0.0000, 0.6654)
Ag (0.5000, 0.5000, 0.1716)
Ag (0.5000, 0.5000, 0.8284)

(11)
Material: Zr2ScAg
Method: DFT, PBE
State: relaxed

The value obtained for the formation enthalpy at 0 K is 0.1113 eV/atom. The calculation puts the total magnetic moment at 2.09 μB/f.u. The crystal system is cubic. As for the volume: 85.7 Å³/cell. Its uncorrected energy is -6.45 eV/atom.

Cell lengths 4.9488, 4.9488, 4.9488 Å; angles 60.00, 60.00, 60.00 degrees
Positions (direct):
Zr (0.0000, 0.0000, 0.0000)
Zr (0.2500, 0.2500, 0.2500)
Sc (0.5000, 0.5000, 0.5000)
Ag (0.7500, 0.7500, 0.7500)

(12)
Material: Ag2Se3
Method: DFT, PBE
State: relaxed

The crystal system is trigonal. As for the volume: 105.2 Å³/cell. Its uncorrected energy is -3.16 eV/atom.

Cell lengths 8.2071, 8.2071, 8.2071 Å; angles 27.66, 27.66, 27.66 degrees
Positions (direct):
Ag (0.0999, 0.0999, 0.0999)
Ag (0.9001, 0.9001, 0.9001)
Se (0.2955, 0.2955, 0.2955)
Se (0.5000, 0.5000, 0.5000)
Se (0.7045, 0.7045, 0.7045)

(13)
Material: SiAg2Se3
Method: DFT, PBE
State: relaxed

The crystal system is monoclinic. As for the volume: 302.0 Å³/cell. Its uncorrected energy is -3.85 eV/atom.

Cell lengths 7.3283, 7.3283, 6.9223 Å; angles 97.22, 97.22, 122.67 degrees
Positions (direct):
Si (0.0797, 0.9203, 0.5000)
Si (0.9203, 0.0797, 0.0000)
Ag (0.2760, 0.8017, 0.0301)
Ag (0.4405, 0.6296, 0.5236)
Ag (0.6296, 0.4405, 0.0236)
Ag (0.8017, 0.2760, 0.5301)
Se (0.0672, 0.1971, 0.3590)
Se (0.1971, 0.0672, 0.8590)
Se (0.3709, 0.9229, 0.4211)
Se (0.5842, 0.7523, 0.9218)
Se (0.7523, 0.5842, 0.4218)
Se (0.9229, 0.3709, 0.9211)

(14)
Material: SiAg2Se3
Method: DFT, PBE
State: relaxed

The crystal system is orthorhombic. As for the volume: 300.9 Å³/cell. Its uncorrected energy is -3.85 eV/atom.

Cell lengths 7.1408, 7.1408, 6.7172 Å; angles 90.00, 90.00, 61.45 degrees
Positions (direct):
Si (0.1575, 0.8425, 0.5000)
Si (0.8425, 0.1575, 0.0000)
Ag (0.2001, 0.4956, 0.0343)
Ag (0.4956, 0.2001, 0.5343)
Ag (0.5044, 0.7999, 0.0343)
Ag (0.7999, 0.5044, 0.5343)
Se (0.1405, 0.8595, 0.8622)
Se (0.1452, 0.5414, 0.4223)
Se (0.4586, 0.8548, 0.4223)
Se (0.5414, 0.1452, 0.9223)
Se (0.8548, 0.4586, 0.9223)
Se (0.8595, 0.1405, 0.3622)

(15)
Material: TlSiAgTe2Se
Method: DFT, PBE
State: relaxed

The crystal system is orthorhombic. As for the volume: 320.3 Å³/cell. Its uncorrected energy is -3.41 eV/atom.

Cell lengths 7.9363, 7.9363, 10.7379 Å; angles 90.00, 90.00, 151.73 degrees
Positions (direct):
Tl (0.2452, 0.7548, 0.7500)
Tl (0.7548, 0.2452, 0.2500)
Si (0.5000, 0.5000, 0.0000)
Si (0.5000, 0.5000, 0.5000)
Ag (0.1058, 0.8942, 0.2500)
Ag (0.8942, 0.1058, 0.7500)
Te (0.1279, 0.8721, 0.5011)
Te (0.1279, 0.8721, 0.9989)
Te (0.8721, 0.1279, 0.0011)
Te (0.8721, 0.1279, 0.4989)
Se (0.4824, 0.5176, 0.2500)
Se (0.5176, 0.4824, 0.7500)

(16)
Material: TlSiAgTeSe2
Method: DFT, PBE
State: relaxed

The crystal system is orthorhombic. As for the volume: 301.8 Å³/cell. Its uncorrected energy is -3.58 eV/atom.

Cell lengths 7.9436, 7.9436, 11.0943 Å; angles 90.00, 90.00, 154.46 degrees
Positions (direct):
Tl (0.2136, 0.7864, 0.7500)
Tl (0.7864, 0.2136, 0.2500)
Si (0.5000, 0.5000, 0.0000)
Si (0.5000, 0.5000, 0.5000)
Ag (0.1235, 0.8765, 0.2500)
Ag (0.8765, 0.1235, 0.7500)
Te (0.4653, 0.5347, 0.2500)
Te (0.5347, 0.4653, 0.7500)
Se (0.1159, 0.8841, 0.0172)
Se (0.1159, 0.8841, 0.4828)
Se (0.8841, 0.1159, 0.5172)
Se (0.8841, 0.1159, 0.9828)

(17)
Material: SmAgSe
Method: DFT, PBE
State: relaxed

The calculation puts the total magnetic moment at 0.00 μB/f.u. The crystal system is hexagonal. As for the volume: 205.5 Å³/cell. Its uncorrected energy is -4.42 eV/atom.

Cell lengths 7.7912, 7.7912, 3.9089 Å; angles 90.00, 90.00, 120.00 degrees
Positions (direct):
Sm (0.0000, 0.6060, 0.0000)
Sm (0.3940, 0.3940, 0.0000)
Sm (0.6060, 0.0000, 0.0000)
Ag (0.0000, 0.2529, 0.5000)
Ag (0.2529, 0.0000, 0.5000)
Ag (0.7471, 0.7471, 0.5000)
Se (0.0000, 0.0000, 0.0000)
Se (0.3333, 0.6667, 0.5000)
Se (0.6667, 0.3333, 0.5000)

(18)
Material: SmAgSe2
Method: DFT, PBE
State: relaxed

The calculation puts the total magnetic moment at 0.00 μB/f.u. The crystal system is monoclinic. As for the volume: 382.2 Å³/cell. Its uncorrected energy is -4.82 eV/atom.

Cell lengths 6.8284, 7.5943, 7.4246 Å; angles 90.00, 96.96, 90.00 degrees
Positions (direct):
Sm (0.1956, 0.0402, 0.2964)
Sm (0.1956, 0.4598, 0.7964)
Sm (0.8044, 0.5402, 0.2036)
Sm (0.8044, 0.9598, 0.7036)
Ag (0.4247, 0.6742, 0.4667)
Ag (0.4247, 0.8258, 0.9667)
Ag (0.5753, 0.1742, 0.0333)
Ag (0.5753, 0.3258, 0.5333)
Se (0.0531, 0.7285, 0.5028)
Se (0.0531, 0.7715, 0.0028)
Se (0.3846, 0.0974, 0.7049)
Se (0.3846, 0.4026, 0.2049)
Se (0.6154, 0.5974, 0.7951)
Se (0.6154, 0.9026, 0.2951)
Se (0.9469, 0.2285, 0.9972)
Se (0.9469, 0.2715, 0.4972)

(19)
Material: SmAgSnSe3
Method: DFT, PBE
State: relaxed

The calculation puts the total magnetic moment at 0.00 μB/f.u. The crystal system is orthorhombic. As for the volume: 305.6 Å³/cell. Its uncorrected energy is -4.57 eV/atom.

Cell lengths 7.1814, 7.1814, 10.7575 Å; angles 90.00, 90.00, 146.58 degrees
Positions (direct):
Sm (0.0000, 0.0000, 0.0000)
Sm (0.0000, 0.0000, 0.5000)
Ag (0.4724, 0.5276, 0.7500)
Ag (0.5276, 0.4724, 0.2500)
Sn (0.2382, 0.7618, 0.2500)
Sn (0.7618, 0.2382, 0.7500)
Se (0.0971, 0.9029, 0.7500)
Se (0.3531, 0.6469, 0.5594)
Se (0.3531, 0.6469, 0.9406)
Se (0.6469, 0.3531, 0.0594)
Se (0.6469, 0.3531, 0.4406)
Se (0.9029, 0.0971, 0.2500)

(20)
Material: SrSmAgTeSe2
Method: DFT, PBE
State: relaxed

The calculation puts the total magnetic moment at 0.00 μB/f.u. The crystal system is orthorhombic. As for the volume: 343.5 Å³/cell. Its uncorrected energy is -4.62 eV/atom.

Cell lengths 7.6341, 7.6341, 11.1446 Å; angles 90.00, 90.00, 148.07 degrees
Positions (direct):
Sr (0.2202, 0.7798, 0.7500)
Sr (0.7798, 0.2202, 0.2500)
Sm (0.0000, 0.0000, 0.0000)
Sm (0.0000, 0.0000, 0.5000)
Ag (0.4794, 0.5206, 0.2500)
Ag (0.5206, 0.4794, 0.7500)
Te (0.1041, 0.8959, 0.2500)
Te (0.8959, 0.1041, 0.7500)
Se (0.3664, 0.6336, 0.0646)
Se (0.3664, 0.6336, 0.4354)
Se (0.6336, 0.3664, 0.5646)
Se (0.6336, 0.3664, 0.9354)